(1)
Entry from Alexandria via LeMat-Bulk: crystalline Tb3Er8Mg at its relaxed geometry (PBE).

Results
* crystal system: triclinic
* formation energy from the elements: 0.02 eV/atom
* ρ: 8.33 Mg/m³
* total magnetization: 0.0 μB per formula unit

Geometry as CIF:
```
data_Tb3Er8Mg
_chemical_formula_sum 'Tb3 Er8 Mg1'
_space_group_name_H-M_alt 'P 1'
_space_group_IT_number 1
_space_group_name_Hall 'P 1'
_cell_length_a 3.518
_cell_length_b 8.560
_cell_length_c 12.609
_cell_angle_alpha 102.69
_cell_angle_beta 97.97
_cell_angle_gamma 90.01
loop_
_atom_site_label
_atom_site_type_symbol
_atom_site_fract_x
_atom_site_fract_y
_atom_site_fract_z
Tb1 Tb 0.000 0.000 0.000
Tb2 Tb 0.016 0.613 0.034
Tb3 Tb 0.153 0.659 0.306
Er1 Er 0.199 0.309 0.397
Er2 Er 0.252 0.984 0.505
Er3 Er 0.397 0.664 0.797
Er4 Er 0.438 0.280 0.878
Er5 Er 0.579 0.336 0.157
Er6 Er 0.622 0.970 0.244
Er7 Er 0.770 0.647 0.540
Er8 Er 0.822 0.322 0.646
Mg1 Mg 0.865 0.972 0.732
```

***

(2)
Entry from Alexandria via LeMat-Bulk: crystalline Tb7Er3Mg2 at its relaxed geometry (PBE).

Results
* crystal system: monoclinic
* formation energy from the elements: 0.10 eV/atom
* ρ: 7.44 Mg/m³
* total magnetization: 0.0 μB per formula unit

Geometry as CIF:
```
data_Tb7Er3Mg2
_chemical_formula_sum 'Tb7 Er3 Mg2'
_space_group_name_H-M_alt 'P 1 2/m 1'
_space_group_IT_number 10
_space_group_name_Hall '-P 2y'
_cell_length_a 5.724
_cell_length_b 3.537
_cell_length_c 18.383
_cell_angle_alpha 90.00
_cell_angle_beta 93.80
_cell_angle_gamma 90.00
loop_
_atom_site_label
_atom_site_type_symbol
_atom_site_fract_x
_atom_site_fract_y
_atom_site_fract_z
Tb1 Tb 0.000 0.000 0.000
Tb2 Tb 0.177 0.500 0.172
Tb3 Tb 0.258 0.500 0.537
Tb4 Tb 0.326 0.000 0.852
Er1 Er 0.224 0.000 0.368
Er2 Er 0.500 0.500 0.000
Mg1 Mg 0.291 0.500 0.705
```

***

(3)
Entry from Alexandria via LeMat-Bulk: crystalline Tb2Er3Mg8 at its relaxed geometry (PBE).

Results
* crystal system: trigonal
* formation energy from the elements: 0.13 eV/atom
* ρ: 4.65 Mg/m³
* total magnetization: 0.0 μB per formula unit

Geometry as CIF:
```
data_Tb2Er3Mg8
_chemical_formula_sum 'Tb6 Er9 Mg24'
_space_group_name_H-M_alt 'R -3 m'
_space_group_IT_number 166
_space_group_name_Hall '-R 3 2"'
_cell_length_a 5.8363
_cell_length_b 5.8363
_cell_length_c 36.8599
_cell_angle_alpha 90.00
_cell_angle_beta 90.00
_cell_angle_gamma 120.00
loop_
_atom_site_label
_atom_site_type_symbol
_atom_site_fract_x
_atom_site_fract_y
_atom_site_fract_z
Tb1 Tb 0.0000 0.0000 0.1396
Er1 Er 0.0000 0.0000 0.3164
Er2 Er 0.0000 0.0000 0.5000
Mg1 Mg 0.0000 0.0000 0.2254
Mg2 Mg 0.0005 0.5002 0.2710
```

***

(4)
Entry from Alexandria via LeMat-Bulk: crystalline TbEr2Mg3 at its relaxed geometry (PBE).

Results
* crystal system: tetragonal
* formation energy from the elements: -0.07 eV/atom
* ρ: 5.83 Mg/m³
* total magnetization: 0.0 μB per formula unit

Geometry as CIF:
```
data_TbEr2Mg3
_chemical_formula_sum 'Tb1 Er2 Mg3'
_space_group_name_H-M_alt 'P 4/m m m'
_space_group_IT_number 123
_space_group_name_Hall '-P 4 2'
_cell_length_a 3.779
_cell_length_b 3.779
_cell_length_c 11.300
_cell_angle_alpha 90.00
_cell_angle_beta 90.00
_cell_angle_gamma 90.00
loop_
_atom_site_label
_atom_site_type_symbol
_atom_site_fract_x
_atom_site_fract_y
_atom_site_fract_z
Tb1 Tb 0.000 0.000 0.000
Er1 Er 0.000 0.000 0.334
Mg1 Mg 0.500 0.500 0.170
Mg2 Mg 0.500 0.500 0.500
```

***

Among the records above, which one has the lowest ρ? Tb2Er3Mg8

***

What is the ρ in the first record? 8.33 Mg/m³

***

Copy entry 1 word for word.
Entry from Alexandria via LeMat-Bulk: crystalline Tb3Er8Mg at its relaxed geometry (PBE).

Results
* crystal system: triclinic
* formation energy from the elements: 0.02 eV/atom
* ρ: 8.33 Mg/m³
* total magnetization: 0.0 μB per formula unit

Geometry as CIF:
```
data_Tb3Er8Mg
_chemical_formula_sum 'Tb3 Er8 Mg1'
_space_group_name_H-M_alt 'P 1'
_space_group_IT_number 1
_space_group_name_Hall 'P 1'
_cell_length_a 3.518
_cell_length_b 8.560
_cell_length_c 12.609
_cell_angle_alpha 102.69
_cell_angle_beta 97.97
_cell_angle_gamma 90.01
loop_
_atom_site_label
_atom_site_type_symbol
_atom_site_fract_x
_atom_site_fract_y
_atom_site_fract_z
Tb1 Tb 0.000 0.000 0.000
Tb2 Tb 0.016 0.613 0.034
Tb3 Tb 0.153 0.659 0.306
Er1 Er 0.199 0.309 0.397
Er2 Er 0.252 0.984 0.505
Er3 Er 0.397 0.664 0.797
Er4 Er 0.438 0.280 0.878
Er5 Er 0.579 0.336 0.157
Er6 Er 0.622 0.970 0.244
Er7 Er 0.770 0.647 0.540
Er8 Er 0.822 0.322 0.646
Mg1 Mg 0.865 0.972 0.732
```